Ta2MnRe after structural relaxation, computed with PBE.

```
Ta2MnRe
1.0
-0.907 4.071 2.951
-0.957 1.468 4.800
3.552 1.635 2.398
Ta Mn Re
2 1 1
Direct
0.504 0.504 0.496
0.996 0.996 0.004
0.250 0.250 0.250
0.750 0.750 0.750
```

## Properties
For the formation energy from the elements, the calculation gives -0.06 eV per atom. The calculation puts the total magnetic moment at 0.97 μB per cell. The crystal system is orthorhombic. As for the space group: Immm.